(1)
Density functional theory data (PBE) for a geometry-optimized Pa12Tc6Ir structure.

a = 7.8244 Å, b = 7.8244 Å, c = 7.8244 Å
α = 97.16°, β = 97.16°, γ = 97.16°
Atoms (fractional coordinates):
1 Pa 0.0200 0.9294 0.6531
2 Pa 0.0706 0.3469 0.9800
3 Pa 0.1881 0.5513 0.4022
4 Pa 0.3469 0.9800 0.0706
5 Pa 0.4022 0.1881 0.5513
6 Pa 0.4487 0.5978 0.8119
7 Pa 0.5513 0.4022 0.1881
8 Pa 0.5978 0.8119 0.4487
9 Pa 0.6531 0.0200 0.9294
10 Pa 0.8119 0.4487 0.5978
11 Pa 0.9294 0.6531 0.0200
12 Pa 0.9800 0.0706 0.3469
13 Tc 0.1327 0.3371 0.6426
14 Tc 0.3371 0.6426 0.1327
15 Tc 0.3574 0.8673 0.6629
16 Tc 0.6426 0.1327 0.3371
17 Tc 0.6629 0.3574 0.8673
18 Tc 0.8673 0.6629 0.3574
19 Ir 0.0000 0.0000 0.0000

The value obtained for the volume is 24.566 Å³/atom. The energy relative to the elements is 0.0283 eV per atom. The total energy is -184.47 eV for the cell shown. The space group is R-3 (148).

=====

(2)
Density functional theory data (PBE) for a geometry-optimized MnSb2P structure.

a = 4.1125 Å, b = 4.1125 Å, c = 6.7888 Å
α = 98.58°, β = 98.58°, γ = 48.60°
Atoms (fractional coordinates):
1 Mn 0.0000 0.0000 0.0000
2 Sb 0.4874 0.4874 0.6790
3 Sb 0.7237 0.7237 0.2549
4 P 0.2895 0.2895 0.9491

The value obtained for the volume is 21.241 Å³/atom. The total energy is -22.69 eV for the cell shown. Its uncorrected formation energy is 0.032 eV/atom. The space group is Cm (8).

=====

(3)
Density functional theory data (PBE) for a geometry-optimized NbAlPd3 structure.

a = 4.8551 Å, b = 4.8551 Å, c = 4.8551 Å
α = 90.00°, β = 90.00°, γ = 90.00°
Atoms (fractional coordinates):
1 Nb 0.0000 0.0000 0.0000
2 Al 0.5000 0.5000 0.5000
3 Pd 0.0000 0.0000 0.5000
4 Pd 0.0000 0.5000 0.0000
5 Pd 0.5000 0.0000 0.0000

The value obtained for the volume is 22.890 Å³/atom. The energy relative to the elements is 0.9249 eV per atom. The total energy is -24.77 eV for the cell shown. The polymorph energy (0 for the lowest one) is 534.9 meV/atom. The space group is Pm-3m (221).

=====

(4)
Density functional theory data (PBE) for a geometry-optimized Pr8Sn2Sb structure.

a = 10.4783 Å, b = 10.4783 Å, c = 7.2886 Å
α = 101.36°, β = 101.36°, γ = 28.37°
Atoms (fractional coordinates):
1 Pr 0.0232 0.0232 0.2629
2 Pr 0.2153 0.2153 0.8375
3 Pr 0.3401 0.3401 0.4876
4 Pr 0.4050 0.4050 0.0208
5 Pr 0.5950 0.5950 0.9792
6 Pr 0.6599 0.6599 0.5124
7 Pr 0.7847 0.7847 0.1625
8 Pr 0.9768 0.9768 0.7371
9 Sn 0.1826 0.1826 0.2623
10 Sn 0.8174 0.8174 0.7377
11 Sb 0.5000 0.5000 0.5000

The value obtained for the volume is 33.843 Å³/atom. The total energy is -55.38 eV for the cell shown. Its uncorrected formation energy is -0.456 eV/atom. The space group is C2/m (12).

=====

(5)
Density functional theory data (PBE) for a geometry-optimized BaSmAl2 structure.

a = 3.9099 Å, b = 3.9099 Å, c = 7.8342 Å
α = 90.00°, β = 90.00°, γ = 90.00°
Atoms (fractional coordinates):
1 Ba 0.0000 0.0000 0.0000
2 Sm 0.0000 0.0000 0.5000
3 Al 0.5000 0.5000 0.3025
4 Al 0.5000 0.5000 0.6975

The value obtained for the volume is 29.940 Å³/atom. The energy relative to the elements is -0.2033 eV per atom. The total energy is -14.94 eV for the cell shown. The space group is P4/mmm (123).

=====

(6)
Density functional theory data (PBE) for a geometry-optimized LaPmBi2 structure.

a = 5.6649 Å, b = 5.6649 Å, c = 5.6649 Å
α = 60.00°, β = 60.00°, γ = 60.00°
Atoms (fractional coordinates):
1 La 0.0000 0.0000 0.0000
2 Pm 0.5000 0.5000 0.5000
3 Bi 0.2500 0.2500 0.2500
4 Bi 0.7500 0.7500 0.7500

The value obtained for the volume is 32.137 Å³/atom. The energy relative to the elements is -0.7536 eV per atom. The total energy is -20.45 eV for the cell shown. The polymorph energy (0 for the lowest one) is 245.0 meV/atom. The space group is Fm-3m (225).

=====

(7)
Density functional theory data (PBE) for a geometry-optimized GaSn2Te2Pd7 structure.

a = 3.9617 Å, b = 3.9617 Å, c = 15.8358 Å
α = 97.00°, β = 97.00°, γ = 90.03°
Atoms (fractional coordinates):
1 Ga 0.0000 0.0000 0.0000
2 Sn 0.3832 0.3832 0.7596
3 Sn 0.6168 0.6168 0.2404
4 Te 0.2039 0.2039 0.4144
5 Te 0.7961 0.7961 0.5856
6 Pd 0.0603 0.5601 0.1245
7 Pd 0.2984 0.2984 0.5899
8 Pd 0.4399 0.9397 0.8755
9 Pd 0.5000 0.5000 0.0000
10 Pd 0.5601 0.0603 0.1245
11 Pd 0.7016 0.7016 0.4101
12 Pd 0.9397 0.4399 0.8755

The value obtained for the volume is 20.402 Å³/atom. The total energy is -58.08 eV for the cell shown. Its uncorrected formation energy is -0.368 eV/atom. The space group is C2/m (12).

=====

(8)
Density functional theory data (PBE) for a geometry-optimized BaLiIrO3 structure.

a = 6.9418 Å, b = 6.9418 Å, c = 5.2718 Å
α = 90.00°, β = 90.00°, γ = 132.18°
Atoms (fractional coordinates):
1 Ba 0.2186 0.7814 0.7500
2 Ba 0.7814 0.2186 0.2500
3 Li 0.0687 0.9313 0.2500
4 Li 0.9313 0.0687 0.7500
5 Ir 0.4995 0.5005 0.2500
6 Ir 0.5005 0.4995 0.7500
7 O 0.2190 0.7810 0.2500
8 O 0.2364 0.2364 0.0000
9 O 0.2364 0.2364 0.5000
10 O 0.7636 0.7636 0.0000
11 O 0.7636 0.7636 0.5000
12 O 0.7810 0.2190 0.7500

The value obtained for the volume is 15.687 Å³/atom. The total energy is -72.39 eV for the cell shown. Its uncorrected formation energy is -1.437 eV/atom. The space group is Cmcm (63).